A geometry-optimized Sr2ZrAs structure, computed with PBE-GGA.

a = 3.8105 Å, b = 3.9389 Å, c = 18.5194 Å
α = 90.00°, β = 90.00°, γ = 90.00°
Fractional positions:
Sr: 0.0000 0.0000 0.1585
Sr: 0.0000 0.0000 0.8415
Sr: 0.5000 0.5000 0.3415
Sr: 0.5000 0.5000 0.6585
Zr: 0.0000 0.5000 0.0000
Zr: 0.5000 0.0000 0.5000
As: 0.0000 0.5000 0.5000
As: 0.5000 0.0000 0.0000

***

A geometry-optimized Sr2ZrAs structure, computed with PBE-GGA.

a = 4.2334 Å, b = 5.0243 Å, c = 12.6372 Å
α = 90.00°, β = 90.00°, γ = 90.00°
Fractional positions:
Sr: 0.0000 0.0000 0.0000
Sr: 0.0000 0.5000 0.5000
Sr: 0.5000 0.0000 0.3034
Sr: 0.5000 0.5000 0.8034
Zr: 0.0000 0.0000 0.7000
Zr: 0.0000 0.5000 0.2000
As: 0.5000 0.0000 0.5733
As: 0.5000 0.5000 0.0733

***

A geometry-optimized SrZr2As2 structure, computed with PBE-GGA.

a = 5.1656 Å, b = 5.1656 Å, c = 9.6948 Å
α = 90.00°, β = 90.00°, γ = 90.00°
Fractional positions:
Sr: 0.0000 0.0000 0.0000
Sr: 0.5000 0.5000 0.5000
Zr: 0.0000 0.0000 0.3417
Zr: 0.0000 0.0000 0.6583
Zr: 0.5000 0.5000 0.1583
Zr: 0.5000 0.5000 0.8417
As: 0.0000 0.5000 0.2500
As: 0.0000 0.5000 0.7500
As: 0.5000 0.0000 0.2500
As: 0.5000 0.0000 0.7500

Calculated values
offset from the most stable computed form: 285 meV/atom

***

Calculated magnetic moment (μB/atom), listed in the same order as above: 0.000 0.250 0.367
Calculated calculated formation energy (eV per atom), listed in the same order as above: -0.376 -0.309 -0.606